This record from the Alexandria database describes crystalline Cs6Rb at its relaxed geometry. The functional is PBE.

## Properties
Energy above the lowest structure with this stoichiometry ... 0 meV per atom
Size of the total moment ... 0.00 μB per formula unit
Crystal system ... trigonal
Energy of formation ... 0.06 kcal/mol of atoms
Density of states at the Fermi level ... 8.22 states/eV/f.u.

a = 22.6202 Å, b = 22.6202 Å, c = 5.2275 Å
α = 90.00°, β = 90.00°, γ = 120.00°
Space group R-3 (No. 148, hexagonal axes)
Symmetry-distinct sites (fractional):
1 Cs 0.0442 0.2334 0.1835
2 Rb 0.0000 0.0000 0.5000



This record from the Alexandria database describes crystalline Pu2BRh3 at its relaxed geometry. The functional is PBE.

## Properties
Size of the total moment ... 9.70 μB per formula unit
Crystal system ... trigonal
Energy of formation ... -9.51 kcal/mol of atoms
Density of states at the Fermi level ... 14.62 states/eV/f.u.

a = 5.4797 Å, b = 5.4797 Å, c = 11.1575 Å
α = 90.00°, β = 90.00°, γ = 120.00°
Space group R-3m (No. 166, hexagonal axes)
Symmetry-distinct sites (fractional):
1 Pu 0.0000 0.0000 0.1251
2 B 0.0000 0.0000 0.5000
3 Rh 0.0000 0.5000 0.0000



This record from the Alexandria database describes crystalline Ba2Be at its relaxed geometry. The functional is PBE.

## Properties
Energy above the lowest structure with this stoichiometry ... 0 meV per atom
Size of the total moment ... 0.00 μB per formula unit
Crystal system ... monoclinic
Energy of formation ... 8.26 kcal/mol of atoms
Density of states at the Fermi level ... 3.68 states/eV/f.u.

a = 14.810 Å, b = 4.348 Å, c = 10.770 Å
α = 90.00°, β = 129.89°, γ = 90.00°
Space group C2/m (No. 12)
Symmetry-distinct sites (fractional):
1 Ba 0.067 0.000 0.360
2 Ba 0.202 0.500 0.131
3 Be 0.088 0.500 0.610



Summary of E in eV/atom
-0.8673, -9.9784, -2.1659
(order as listed above)